PPbWO2 | PBE+U | relaxed

Summary:
Theoretical density, g cm⁻³: 8.9
N(E_F), states/eV/cell: 2.36
Relative energy among the computed polymorphs, meV per atom: 0

Cell: 4.0313 4.0313 5.2059 Å, 90.00 90.00 90.00°
Space group P4/mmm (No. 123)
Symmetry-distinct sites (fractional):
P: 0.0000 0.0000 0.0000 [1 per cell]
Pb: 0.5000 0.5000 0.0000 [1 per cell]
W: 0.0000 0.0000 0.5000 [1 per cell]
O: 0.0000 0.5000 0.5000 [2 per cell]